NaBiPd | GGA-PBE | relaxed

Values from the calculation:
Formation enthalpy at 0 K (kJ/mol of atoms): -33

a b c (Å): 4.780 8.050 7.577
angles (deg): 90.00 90.00 90.00
Fractional coordinates of all 12 atoms:
Bi: 0.750 0.917 0.178
Bi: 0.750 0.583 0.678
Pd: 0.750 0.595 0.306
Bi: 0.250 0.083 0.822
Bi: 0.250 0.417 0.322
Pd: 0.750 0.905 0.806
Pd: 0.250 0.405 0.694
Na: 0.250 0.685 0.988
Na: 0.750 0.315 0.012
Na: 0.750 0.185 0.512
Pd: 0.250 0.095 0.194
Na: 0.250 0.815 0.488


NaBi2Pd2 | GGA-PBE | relaxed

Values from the calculation:
Formation enthalpy at 0 K (kJ/mol of atoms): -23
Excess energy over the best structure of this formula in the dataset (eV per atom): 0.064

a b c (Å): 5.940 6.682 8.052
angles (deg): 80.58 68.50 63.38
Fractional coordinates of all 10 atoms:
Pd: 0.278 0.752 0.441
Na: 0.874 0.751 0.250
Pd: 0.470 0.752 0.060
Bi: 0.568 0.361 0.250
Pd: 0.530 0.248 0.940
Bi: 0.179 0.142 0.250
Bi: 0.821 0.858 0.750
Na: 0.126 0.249 0.750
Bi: 0.432 0.639 0.750
Pd: 0.722 0.248 0.559


NaBiPd3 | GGA-PBE | relaxed

Values from the calculation:
Formation enthalpy at 0 K (kJ/mol of atoms): 27
Excess energy over the best structure of this formula in the dataset (eV per atom): 0.496

a b c (Å): 5.143 5.143 5.143
angles (deg): 90.00 90.00 90.00
Fractional coordinates of all 5 atoms:
Bi: 0.000 0.000 0.000
Pd: 0.000 0.500 0.000
Pd: 0.000 0.000 0.500
Na: 0.500 0.500 0.500
Pd: 0.500 0.000 0.000


Na2Bi2Pd5 | GGA-PBE | relaxed

Values from the calculation:
Formation enthalpy at 0 K (kJ/mol of atoms): -20

a b c (Å): 6.369 8.887 8.558
angles (deg): 121.28 111.84 90.00
Fractional coordinates of all 18 atoms:
Pd: 0.895 0.915 0.126
Bi: 0.000 0.158 0.000
Na: 0.363 0.936 0.749
Pd: 0.621 0.159 0.711
Pd: 0.105 0.790 0.874
Bi: 0.773 0.723 0.500
Pd: 0.112 0.522 0.500
Pd: 0.409 0.947 0.289
Bi: 0.227 0.223 0.500
Bi: 0.500 0.658 0.000
Pd: 0.270 0.290 0.874
Na: 0.637 0.187 0.251
Pd: 0.591 0.659 0.711
Na: 0.113 0.687 0.251
Pd: 0.888 0.022 0.500
Pd: 0.730 0.415 0.126
Na: 0.887 0.436 0.749
Pd: 0.379 0.447 0.289


Na2Bi2Pd3 | GGA-PBE | relaxed

Values from the calculation:
Formation enthalpy at 0 K (kJ/mol of atoms): -26
Excess energy over the best structure of this formula in the dataset (eV per atom): 0.041

a b c (Å): 4.273 6.195 7.313
angles (deg): 114.70 90.00 110.17
Fractional coordinates of all 7 atoms:
Bi: 0.154 0.308 0.247
Na: 0.127 0.254 0.761
Na: 0.873 0.746 0.239
Bi: 0.846 0.692 0.753
Pd: 0.403 0.805 0.567
Pd: 0.597 0.195 0.433
Pd: 0.500 0.000 0.000


NaBi3Pd2 | GGA-PBE | relaxed

Values from the calculation:
Formation enthalpy at 0 K (kJ/mol of atoms): -19

a b c (Å): 6.895 8.534 7.823
angles (deg): 123.06 116.15 90.00
Fractional coordinates of all 12 atoms:
Na: 0.431 0.250 0.500
Bi: 0.500 0.788 0.000
Pd: 0.877 0.062 0.125
Na: 0.569 0.750 0.500
Bi: 0.000 0.000 0.500
Bi: 0.000 0.288 0.000
Bi: 0.500 0.212 0.000
Pd: 0.748 0.562 0.125
Pd: 0.252 0.438 0.875
Bi: 0.000 0.712 0.000
Bi: 0.000 0.500 0.500
Pd: 0.123 0.938 0.875


NaBiPd14 | GGA-PBE | relaxed

Values from the calculation:
Formation enthalpy at 0 K (kJ/mol of atoms): -6

a b c (Å): 5.671 5.671 8.018
angles (deg): 90.00 90.00 89.99
Fractional coordinates of all 16 atoms:
Pd: 0.126 0.126 0.243
Pd: 0.624 0.624 0.757
Pd: 0.375 0.875 0.500
Pd: 0.126 0.624 0.757
Pd: 0.875 0.375 0.500
Pd: 0.624 0.126 0.757
Pd: 0.875 0.875 0.000
Pd: 0.126 0.126 0.757
Pd: 0.624 0.624 0.243
Pd: 0.624 0.126 0.243
Pd: 0.126 0.624 0.243
Pd: 0.875 0.375 0.000
Na: 0.375 0.375 0.500
Pd: 0.375 0.375 0.000
Pd: 0.375 0.875 0.000
Bi: 0.875 0.875 0.500


NaBi2Pd2 | GGA-PBE | relaxed

Values from the calculation:
Formation enthalpy at 0 K (kJ/mol of atoms): -29
Excess energy over the best structure of this formula in the dataset (eV per atom): 0.000

a b c (Å): 8.061 8.061 3.523
angles (deg): 90.00 90.00 90.00
Fractional coordinates of all 10 atoms:
Bi: 0.661 0.839 0.500
Pd: 0.870 0.630 0.000
Bi: 0.339 0.161 0.500
Na: 0.000 0.000 0.000
Na: 0.500 0.500 0.000
Pd: 0.370 0.870 0.000
Pd: 0.630 0.130 0.000
Bi: 0.839 0.339 0.500
Bi: 0.161 0.661 0.500
Pd: 0.130 0.370 0.000


Looking at calculated volume for the records above, in order, we have 24.29; 26.58; 27.20; 20.71; 23.24; 27.35; 16.12; 22.89 A^3/atom.
Looking at Fermi-level density of states for the records above, in order, we have 4.5; 3.1; 2.7; 7.8; 3.3; 5.5; 30.6; 4.7 states/eV/cell.
Looking at VASP energy for the records above, in order, we have -3.810; -4.134; -3.871; -4.249; -3.983; -4.092; -4.933; -4.198 eV per atom.